A geometry-optimized BaRe3 structure, computed with PBE.

Unit cell a=10.568 b=10.568 c=10.568 alpha=15.77 beta=15.77 gamma=15.77
Positions (direct):
Re  0.765  0.765  0.765
Re  0.500  0.500  0.500
Re  0.235  0.235  0.235
Ba  0.000  0.000  0.000

Magnetic moment = 0.000 μB per atom
E above lowest polymorph = 0.400 eV per atom
Formation energy = 1.00 eV/atom